A relaxed ScSnSe2 crystal. Source: the Alexandria database, functional GGA-PBE.

a = 6.7804 Å, b = 6.7804 Å, c = 7.4149 Å
α = 62.79°, β = 62.79°, γ = 90.00°
Element x y z (fractional)
Sc 0.5000 0.5000 0.0000
Sc 0.2500 0.7500 0.5000
Sn 0.0000 0.0000 0.0000
Sn 0.7500 0.2500 0.5000
Se 0.3750 0.4244 0.7500
Se 0.1744 0.6250 0.2500
Se 0.8750 0.8256 0.7500
Se 0.5756 0.1250 0.2500

Results
DOS(E_F) (states/eV per cell): 6.80
Formation energy without anion corrections (meV/atom): -744.7